Here is a geometry-optimized CaMg2Br structure from Alexandria via LeMat-Bulk. Energies are from PBE-GGA.

Cell lengths 3.602, 3.602, 8.786 Å; angles 90.00, 90.00, 90.00 degrees
Sites, in units of the cell vectors:
1 Ca 0.000 0.000 0.000
2 Mg 0.500 0.500 0.269
3 Mg 0.500 0.500 0.731
4 Br 0.000 0.000 0.500

Summary:
As for the raw total energy: -0.0755 hartree per atom. The crystal system is tetragonal. The relative energy among the computed polymorphs is 216 meV/atom.


Here is a geometry-optimized KW2Br structure from Alexandria via LeMat-Bulk. Energies are from PBE-GGA.

Cell lengths 4.803, 4.803, 4.803 Å; angles 60.00, 60.00, 60.00 degrees
Sites, in units of the cell vectors:
1 K 0.000 0.000 0.000
2 W 0.250 0.250 0.250
3 W 0.500 0.500 0.500
4 Br 0.750 0.750 0.750

Summary:
As for the raw total energy: -0.2049 hartree per atom. The crystal system is cubic. The relative energy among the computed polymorphs is 1196 meV/atom.


Here is a geometry-optimized Na2ZrFeMo structure from Alexandria via LeMat-Bulk. Energies are from PBE-GGA.

Cell lengths 5.373, 5.373, 4.889 Å; angles 90.00, 90.00, 90.00 degrees
Sites, in units of the cell vectors:
1 Na 0.000 0.500 0.000
2 Na 0.500 0.000 0.000
3 Zr 0.000 0.000 0.500
4 Fe 0.500 0.500 0.500
5 Mo 0.000 0.000 0.000

Summary:
As for the raw total energy: -0.1628 hartree per atom. The calculation puts the energy of formation at 1.666 eV per atom. The crystal system is tetragonal.